Material: CsY2Cl7
Method: DFT, SCAN
State: single point on PBEsol structure

Computed properties:
For the formation energy (no corrections), the calculation gives -2.555 eV/atom. As for the mass density: 3.2 g cm⁻³. As for the space-group type: Pnma (62). The calculation puts the total energy at -1.2854 Ry per atom.

Cell: 6.8940 12.5029 13.5663 Å, 90.00 90.00 90.00°
Fractional coordinates of all 40 atoms:
Cs 0.2500 0.7972 0.0378
Cs 0.7500 0.2028 0.9622
Cs 0.7500 0.2972 0.4622
Cs 0.2500 0.7028 0.5378
Y 0.2500 0.4517 0.2419
Y 0.7500 0.5483 0.7581
Y 0.7500 0.9517 0.2581
Y 0.2500 0.0483 0.7419
Y 0.2500 0.1477 0.2478
Y 0.7500 0.8523 0.7522
Y 0.7500 0.6477 0.2522
Y 0.2500 0.3523 0.7478
Cl 0.0070 0.2988 0.1803
Cl 0.9930 0.7012 0.8197
Cl 0.9930 0.7988 0.3197
Cl 0.5070 0.7012 0.8197
Cl 0.0070 0.2012 0.6803
Cl 0.4930 0.2988 0.1803
Cl 0.4930 0.2012 0.6803
Cl 0.5070 0.7988 0.3197
Cl 0.0097 0.5665 0.1275
Cl 0.9903 0.4335 0.8725
Cl 0.9903 0.0665 0.3725
Cl 0.5097 0.4335 0.8725
Cl 0.0097 0.9335 0.6275
Cl 0.4903 0.5665 0.1275
Cl 0.4903 0.9335 0.6275
Cl 0.5097 0.0665 0.3725
Cl 0.0098 0.0328 0.1317
Cl 0.9902 0.9672 0.8683
Cl 0.9902 0.5328 0.3683
Cl 0.5098 0.9672 0.8683
Cl 0.0098 0.4672 0.6317
Cl 0.4902 0.0328 0.1317
Cl 0.4902 0.4672 0.6317
Cl 0.5098 0.5328 0.3683
Cl 0.2500 0.3016 0.3893
Cl 0.7500 0.6984 0.6107
Cl 0.7500 0.8016 0.1107
Cl 0.2500 0.1984 0.8893